! K3CdPt8 (PBE, relaxed); values from VASP
! Formation enthalpy at 0 K   -2.203 eV/f.u.
&SYSTEM
  ibrav = 0, nat = 12, ntyp = 3
/
ATOMIC_SPECIES
Pt 195.08 Pt.upf
Cd 112.41 Cd.upf
K 39.10 K.upf
ATOMIC_POSITIONS crystal
Pt 0.931 0.436 0.196
Cd 0.875 0.875 0.376
Pt 0.443 0.939 0.679
Pt 0.939 0.939 0.679
K 0.374 0.374 0.877
K 0.001 0.001 0.996
Pt 0.939 0.443 0.679
Pt 0.188 0.188 0.437
Pt 0.436 0.436 0.196
Pt 0.688 0.688 0.937
Pt 0.436 0.931 0.196
K 0.498 0.498 0.505
CELL_PARAMETERS angstrom
-5.164 0.853 1.665
-4.191 -2.106 -2.859
-2.753 -7.868 4.554